## KTeMo2F (GGA+U)

Data for an optimized crystal structure of KTeMo2F.

Geometry as POSCAR:
```
KTeMo2F
1.0
5.105 0.000 0.000
0.000 4.999 0.000
0.000 0.000 5.105
Mo Te K F
2 1 1 1
Direct
0.000 0.000 0.500
0.500 0.000 0.000
0.500 0.500 0.500
0.000 0.500 0.000
0.000 0.000 0.000
```

Final energy ... -20.62 eV/cell